Compound: LaZrOs2
Source: Alexandria
Functional: SCAN
Structure: single point on PBEsol structure

POSCAR file:
```
LaZrOs2
1.0
4.6735 0.0000 0.0000
2.3368 4.0474 0.0000
2.3368 1.3491 3.8159
La Os Zr
1 2 1
Cartesian
4.6735 2.6983 1.9080 La
0.0000 0.0000 0.0000 Os
7.0103 4.0474 2.8619 Os
2.3368 1.3491 0.9540 Zr
```

Calculated values
The total magnetization is 0.0 μB/cell. Its space-group type is No. 216. The density of states at the Fermi level is 2.57 states/eV per cell. The calculation puts the total energy at -54.188 eV per atom.



Compound: La3P
Source: Alexandria
Functional: SCAN
Structure: single point on PBEsol structure

POSCAR file:
```
La3P
1.0
-5.8036 0.7893 1.7801
-0.2079 -7.2324 2.5290
3.0082 2.8942 8.5242
La P
12 4
Cartesian
1.5088 1.9924 6.7174 La
-2.9850 -2.1186 4.4148 La
-0.0183 -1.4303 8.4184 La
-4.5121 -5.5413 6.1158 La
-0.7698 1.8523 9.7577 La
-0.6410 -1.9875 1.3545 La
-3.6082 -2.7602 7.9482 La
-0.9876 -4.2025 6.6062 La
-2.2335 -5.4013 3.0755 La
-2.3623 -1.5614 11.4788 La
0.6049 -0.7887 4.8851 La
-2.0157 0.6536 6.2271 La
-1.3833 -3.8554 9.7235 P
0.0760 -3.5545 3.8221 P
-3.0793 0.0056 9.0111 P
-1.6200 0.3065 3.1097 P
```

Calculated values
The total magnetization is 0.0 μB/cell. Its space-group type is No. 62. The density of states at the Fermi level is 12.78 states/eV per cell. The calculation puts the total energy at -35.788 eV per atom.



Compound: LaP
Source: Alexandria
Functional: SCAN
Structure: single point on PBEsol structure

POSCAR file:
```
LaP
1.0
4.2250 0.0000 0.0000
2.1125 3.6590 0.0000
2.1125 1.2197 3.4497
P La
1 1
Cartesian
0.0000 0.0000 0.0000 P
4.2250 2.4393 1.7249 La
```

Calculated values
The total magnetization is 0.0 μB/cell. Its space-group type is No. 225. The density of states at the Fermi level is 0.12 states/eV per cell. The calculation puts the total energy at -28.552 eV per atom.



Compound: La2P
Source: Alexandria
Functional: SCAN
Structure: single point on PBEsol structure

POSCAR file:
```
La2P
1.0
4.0715 0.0000 0.0000
0.0000 6.6607 0.0000
0.0000 0.0000 6.9389
P La
2 4
Cartesian
0.0000 0.0000 0.0000 P
2.0358 3.3303 3.4694 P
0.0000 1.5560 4.5150 La
0.0000 5.1047 2.4239 La
2.0358 4.8864 5.8933 La
2.0358 1.7743 1.0456 La
```

Calculated values
The total magnetization is 0.0 μB/cell. Its space-group type is No. 58. The density of states at the Fermi level is 6.84 states/eV per cell. The calculation puts the total energy at -33.285 eV per atom.



Compound: LaP
Source: Alexandria
Functional: SCAN
Structure: single point on PBEsol structure

POSCAR file:
```
LaP
1.0
3.9572 0.0000 0.0000
-1.9786 5.4441 -0.0105
0.0000 -2.8769 7.0945
La P
3 3
Cartesian
0.0000 0.8632 0.0399 La
0.0000 0.8665 4.5616 La
0.0000 3.5042 2.1297 La
1.9786 0.9058 2.2026 P
1.9786 3.3562 4.2896 P
1.9786 0.5001 6.8426 P
```

Calculated values
The total magnetization is 0.0 μB/cell. Its space-group type is No. 8. The density of states at the Fermi level is 0.56 states/eV per cell. The calculation puts the total energy at -28.260 eV per atom.



Compound: LaP
Source: Alexandria
Functional: SCAN
Structure: single point on PBEsol structure

POSCAR file:
```
LaP
1.0
3.7253 0.0000 0.0000
0.0000 4.0742 0.0000
0.0000 -2.0371 3.5283
P La
1 1
Cartesian
1.8627 2.0371 1.1761 P
0.0000 0.0000 0.0000 La
```

Calculated values
The total magnetization is 0.0 μB/cell. Its space-group type is No. 187. The density of states at the Fermi level is 0.07 states/eV per cell. The calculation puts the total energy at -28.267 eV per atom.



Compound: La2P
Source: Alexandria
Functional: SCAN
Structure: single point on PBEsol structure

POSCAR file:
```
La2P
1.0
-2.7220 -2.3439 1.8085
3.0813 -1.6579 -1.9827
3.8375 0.0882 5.8903
P La
1 2
Cartesian
0.0000 0.0000 0.0000 P
4.0779 -1.8192 3.7800 La
0.1188 -2.0944 1.9361 La
```

Calculated values
The total magnetization is 1.0 μB/cell. Its space-group type is No. 164. The density of states at the Fermi level is 2.43 states/eV per cell. The calculation puts the total energy at -33.312 eV per atom.



Compound: LaP3
Source: Alexandria
Functional: SCAN
Structure: single point on PBEsol structure

POSCAR file:
```
LaP3
1.0
4.2397 0.0000 0.0000
0.0000 4.3253 0.0000
0.0000 0.0000 4.3253
La P
1 3
Cartesian
4.1880 0.0000 0.0000 La
2.0556 2.1626 0.0000 P
3.0100 2.1626 2.1626 P
2.0556 0.0000 2.1626 P
```

Calculated values
The total magnetization is 0.0 μB/cell. Its space-group type is No. 99. The density of states at the Fermi level is 1.89 states/eV per cell. The calculation puts the total energy at -19.216 eV per atom.



Compound: La2P
Source: Alexandria
Functional: SCAN
Structure: single point on PBEsol structure

POSCAR file:
```
La2P
1.0
4.0089 0.0000 0.0000
-2.0044 6.6883 0.0000
0.0000 0.0000 6.1319
P La
2 4
Cartesian
0.0000 1.7757 2.8924 P
2.0044 4.9127 5.9583 P
0.0000 2.8007 5.9598 La
2.0044 3.8876 2.8938 La
2.0044 0.0027 4.4268 La
0.0000 6.6856 1.3608 La
```

Calculated values
The total magnetization is 1.4 μB/cell. Its space-group type is No. 63. The density of states at the Fermi level is 5.83 states/eV per cell. The calculation puts the total energy at -33.307 eV per atom.



Compound: La4P3
Source: Alexandria
Functional: SCAN
Structure: single point on PBEsol structure

POSCAR file:
```
La4P3
1.0
-2.2659 -2.3993 -4.5604
4.0075 -4.2498 0.2447
-5.0757 -0.6014 2.8383
La P
4 3
Cartesian
-1.7276 -1.8293 -3.4770 La
-0.5383 -0.5700 -1.0833 La
-3.1809 -3.0172 -0.3064 La
-0.1532 -4.2333 -1.1710 La
-2.5378 -0.3007 1.4192 P
2.0037 -2.1249 0.1223 P
-0.5341 -2.4256 1.5415 P
```

Calculated values
The total magnetization is 0.0 μB/cell. Its space-group type is No. 191. The density of states at the Fermi level is 3.42 states/eV per cell. The calculation puts the total energy at -29.678 eV per atom.



Compound: La3P
Source: Alexandria
Functional: SCAN
Structure: single point on PBEsol structure

POSCAR file:
```
La3P
1.0
3.9448 0.0000 0.0000
-1.9724 3.4163 0.0000
0.0000 0.0000 9.4427
La P
3 1
Cartesian
0.0000 0.0000 2.9206 La
0.0000 0.0000 6.5221 La
0.0000 2.2775 0.0000 La
0.0000 2.2775 4.7213 P
```

Calculated values
The total magnetization is 0.0 μB/cell. Its space-group type is No. 187. The density of states at the Fermi level is 2.21 states/eV per cell. The calculation puts the total energy at -35.604 eV per atom.



Compound: LaP2
Source: Alexandria
Functional: SCAN
Structure: single point on PBEsol structure

POSCAR file:
```
LaP2
1.0
-3.3885 7.0883 -3.7776
-5.8193 -5.9616 4.0561
5.0034 5.0969 5.1481
La P
8 16
Cartesian
-2.5165 -2.2452 6.6543 La
0.8197 7.2812 1.4557 La
-3.2219 6.6386 0.2676 La
-3.4976 -2.9678 2.5709 La
-1.5854 2.8307 -0.8849 La
-3.2280 5.4875 5.6097 La
-0.5191 3.4194 3.9169 La
-3.4812 0.8830 1.7784 La
-0.5726 1.3428 1.6740 P
-5.7741 -1.1351 1.6541 P
0.5517 3.1449 1.1381 P
-6.3212 0.7107 2.6994 P
-5.9828 2.3106 1.0726 P
-1.0464 4.7954 1.3435 P
-3.0597 3.8722 1.5997 P
-0.6382 6.4227 4.2496 P
-2.9117 -0.5435 4.3112 P
-1.4503 9.0319 0.8862 P
-1.8920 1.0355 5.4683 P
3.0805 3.5194 5.7049 P
-3.9083 4.5090 -1.8058 P
-0.5846 0.0362 6.9737 P
1.4379 5.7318 3.9559 P
-3.4863 3.2467 3.6736 P
```

Calculated values
The total magnetization is 0.0 μB/cell. Its space-group type is No. 9. The calculation puts the total energy at -22.543 eV per atom.



Compound: LaP3
Source: Alexandria
Functional: SCAN
Structure: single point on PBEsol structure

POSCAR file:
```
LaP3
1.0
-3.8639 -3.6222 -0.7013
3.2808 -3.8378 1.7464
-1.6879 0.8323 5.0000
La P
2 6
Cartesian
0.0000 0.0000 0.0000 La
-1.1355 -3.3138 3.0225 La
-1.2575 -4.6356 0.3472 P
0.6744 -2.8244 0.6978 P
1.6167 -2.4622 3.8098 P
-0.0237 -0.5433 2.9366 P
-2.3539 -1.6030 0.8993 P
-3.1978 -1.1868 3.3993 P
```

Calculated values
The total magnetization is 0.0 μB/cell. Its space-group type is No. 223. The density of states at the Fermi level is 8.07 states/eV per cell. The calculation puts the total energy at -18.758 eV per atom.



Compound: La5P3
Source: Alexandria
Functional: SCAN
Structure: single point on PBEsol structure

POSCAR file:
```
La5P3
1.0
4.5400 0.0000 0.0000
0.0000 6.9243 0.0442
0.0000 -2.4219 6.4871
La P
5 3
Cartesian
0.0000 0.0000 0.0000 La
0.0000 -1.2110 3.2436 La
0.0000 3.4622 0.0221 La
2.2700 1.2533 1.8181 La
2.2700 3.2491 4.7132 La
0.0000 2.2512 3.2656 P
2.2700 5.2046 1.2297 P
2.2700 -0.7021 5.3016 P
```

Calculated values
The total magnetization is 0.0 μB/cell. Its space-group type is No. 65. The density of states at the Fermi level is 6.03 states/eV per cell. The calculation puts the total energy at -31.939 eV per atom.



Compound: LaP3
Source: Alexandria
Functional: SCAN
Structure: single point on PBEsol structure

POSCAR file:
```
LaP3
1.0
-1.0785 -3.3331 -1.0561
3.4910 -0.9628 -0.5233
0.3041 -1.7777 5.2997
La P
1 3
Cartesian
0.0000 0.0000 0.0000 La
1.4180 -3.3853 2.8992 P
0.1521 -0.8888 2.6498 P
1.2987 -2.6882 0.8211 P
```

Calculated values
The total magnetization is 0.0 μB/cell. Its space-group type is No. 123. The density of states at the Fermi level is 1.94 states/eV per cell. The calculation puts the total energy at -18.939 eV per atom.



Compound: La5P3
Source: Alexandria
Functional: SCAN
Structure: single point on PBEsol structure

POSCAR file:
```
La5P3
1.0
-2.8218 -5.4007 1.3919
-1.7471 -1.2721 -8.4778
7.4628 -3.0154 3.4289
La P
10 6
Cartesian
1.3229 -1.8532 -4.5089 La
2.9820 -5.1347 0.1559 La
4.3929 -2.4343 -0.5400 La
-0.0880 -4.5536 -3.8130 La
2.0972 -7.2112 -2.6780 La
0.7968 -2.4771 -0.9790 La
-0.1549 -4.8431 1.9451 La
-2.5755 -4.3849 -1.1843 La
-1.9934 -2.2879 -5.9016 La
4.7960 -3.5731 2.8757 La
0.0478 -5.6739 -0.8677 P
2.8462 -4.0144 -2.7893 P
2.5209 -5.9243 3.1746 P
-3.2019 -4.8410 -4.2240 P
-1.3669 -1.8318 -2.8619 P
2.1202 -2.4919 1.6462 P
```

Calculated values
The total magnetization is 0.0 μB/cell. Its space-group type is No. 193. The density of states at the Fermi level is 15.80 states/eV per cell. The calculation puts the total energy at -32.078 eV per atom.



Compound: LaP7
Source: Alexandria
Functional: SCAN
Structure: single point on PBEsol structure

POSCAR file:
```
LaP7
1.0
6.9320 0.0092 0.0000
-0.4191 7.8210 0.0000
0.0000 0.0000 11.4999
La P
4 28
Cartesian
2.6340 2.2105 7.4850 La
0.6224 1.7046 1.7350 La
3.8788 5.6197 4.0149 La
5.8905 6.1255 9.7648 La
2.9127 5.8547 8.9853 P
-0.0754 5.8813 3.2354 P
3.6001 1.9754 2.5146 P
6.5883 1.9488 8.2645 P
5.9936 4.6507 6.1212 P
3.7757 7.0945 0.3712 P
0.5193 3.1794 5.3787 P
2.7371 0.7357 11.1286 P
4.2279 2.0571 10.1653 P
5.9606 1.8672 4.4153 P
2.2850 5.7731 1.3346 P
0.5523 5.9630 7.0846 P
5.1684 0.3571 7.6381 P
5.0201 3.5672 1.8881 P
1.3445 7.4731 3.8618 P
1.4928 4.2630 9.6117 P
6.2848 1.3809 10.3875 P
3.9037 2.5433 4.6375 P
0.2281 6.4492 1.1124 P
2.6092 5.2868 6.8624 P
5.8442 0.0330 5.6014 P
4.3442 3.8913 11.3513 P
0.6686 7.7972 5.8985 P
2.1687 3.9389 0.1486 P
5.2206 3.7024 7.9396 P
4.9678 0.2218 2.1897 P
1.2922 4.1277 3.5602 P
1.5451 7.6083 9.3102 P
```

Calculated values
The total magnetization is 0.0 μB/cell. Its space-group type is No. 14. The calculation puts the total energy at -15.001 eV per atom.



Compound: LaPPb2
Source: Alexandria
Functional: SCAN
Structure: single point on PBEsol structure

POSCAR file:
```
LaPPb2
1.0
-2.0487 -2.2115 -2.6916
1.6905 -0.9400 -3.5484
3.0474 -8.0898 1.2934
La P Pb
1 1 2
Cartesian
1.1778 -5.2499 -2.6509 La
0.6825 -2.8331 -1.2257 P
-0.2042 -3.4938 -6.0760 Pb
2.0194 -8.4367 -3.7072 Pb
```

Calculated values
The total magnetization is 0.0 μB/cell. Its space-group type is No. 160. The density of states at the Fermi level is 1.95 states/eV per cell. The calculation puts the total energy at -51.757 eV per atom.



Compound: LaP2Pb
Source: Alexandria
Functional: SCAN
Structure: single point on PBEsol structure

POSCAR file:
```
LaP2Pb
1.0
-1.8772 0.0866 -4.0263
-0.4137 -3.7547 -2.3395
-5.7567 -2.1111 0.1869
La P Pb
1 2 1
Cartesian
-1.5833 -1.3685 -1.7429 La
-5.0393 -1.9835 -0.1449 P
-6.7303 -4.4580 -4.3130 P
-4.4753 -2.9699 -2.8807 Pb
```

Calculated values
The total magnetization is 0.0 μB/cell. Its space-group type is No. 160. The density of states at the Fermi level is 2.55 states/eV per cell. The calculation puts the total energy at -35.173 eV per atom.



Compound: LaP2Pb
Source: Alexandria
Functional: SCAN
Structure: single point on PBEsol structure

POSCAR file:
```
LaP2Pb
1.0
4.1525 0.0000 0.0000
0.0000 4.1524 0.0000
0.0000 0.0000 5.9376
La P Pb
1 2 1
Cartesian
0.0000 0.5268 2.9688 La
0.0000 0.5134 0.0000 P
2.0762 2.6018 2.9688 P
2.0762 2.5867 0.0000 Pb
```

Calculated values
The total magnetization is 0.0 μB/cell. Its space-group type is No. 25. The density of states at the Fermi level is 1.57 states/eV per cell. The calculation puts the total energy at -35.635 eV per atom.



Compound: LaPPb
Source: Alexandria
Functional: SCAN
Structure: single point on PBEsol structure

POSCAR file:
```
LaPPb
1.0
4.1341 0.0000 0.0000
0.0000 4.6958 0.0000
0.0000 -2.3479 4.0667
La P Pb
1 1 1
Cartesian
4.0478 0.0000 0.0000 La
2.3393 0.0000 2.7111 P
1.8811 2.3479 1.3556 Pb
```

Calculated values
The total magnetization is 0.0 μB/cell. Its space-group type is No. 156. The density of states at the Fermi level is 1.42 states/eV per cell. The calculation puts the total energy at -43.736 eV per atom.



Compound: La6P17Pd6
Source: Alexandria
Functional: SCAN
Structure: single point on PBEsol structure

POSCAR file:
```
La6P17Pd6
1.0
-0.4294 -8.4839 -2.8048
4.4496 4.9069 -6.0126
4.2604 0.3304 7.8592
La P Pd
6 17 6
Cartesian
2.8688 -2.5525 -6.2919 La
6.2153 3.7372 1.3177 La
2.4947 1.5001 0.5289 La
2.7337 -5.8182 3.6068 La
1.0973 -2.3353 1.4477 La
1.1515 -1.0245 -2.5255 La
3.1732 -2.8093 5.1260 P
3.4202 1.0639 -2.3835 P
4.3134 -3.1461 0.7035 P
3.3517 -0.5907 2.6320 P
1.2733 -4.8540 -4.3651 P
5.3806 -0.2170 0.0018 P
5.0167 3.9530 -1.8558 P
4.9373 2.0323 3.9662 P
4.3548 -2.1451 -2.3309 P
3.3211 0.7661 -5.7115 P
1.6561 -3.7776 -1.2237 P
1.2049 -6.5086 0.6503 P
-0.2452 -4.8438 -1.6014 P
2.5405 2.8015 -3.4329 P
3.5529 -1.3930 -0.4111 P
2.4324 0.1887 4.4872 P
0.0000 0.0000 0.0000 P
2.9206 -4.9710 0.3229 Pd
4.0930 -2.7674 2.9889 Pd
4.1876 -0.4792 -3.9470 Pd
2.9679 -3.8269 -3.1451 Pd
5.3128 0.5803 2.1869 Pd
5.3601 1.7244 -1.2810 Pd
```

Calculated values
The total magnetization is 0.0 μB/cell. Its space-group type is No. 217. The density of states at the Fermi level is 5.95 states/eV per cell. The calculation puts the total energy at -22.844 eV per atom.



Compound: La2PPt
Source: Alexandria
Functional: SCAN
Structure: single point on PBEsol structure

POSCAR file:
```
La2PPt
1.0
-1.1312 -2.2821 -2.9685
3.8403 0.5436 -1.8814
0.5469 -3.4851 5.0479
La P Pt
2 1 1
Cartesian
3.1772 -5.0433 0.0894 La
0.3949 -3.3408 -0.1592 La
1.5386 -1.2907 -2.1710 P
2.7557 -1.6417 0.2120 Pt
```

Calculated values
The total magnetization is 0.0 μB/cell. Its space-group type is No. 44. The density of states at the Fermi level is 2.07 states/eV per cell. The calculation puts the total energy at -42.938 eV per atom.



Compound: La2PPt
Source: Alexandria
Functional: SCAN
Structure: single point on PBEsol structure

POSCAR file:
```
La2PPt
1.0
-2.4234 3.4377 2.0738
-4.7954 -1.0705 1.4729
-0.5867 -0.2842 5.0879
La P Pt
2 1 1
Cartesian
-4.6527 -0.1733 5.4547 La
-3.1528 2.2563 3.1799 La
-2.6910 -0.6774 3.2804 P
-1.2117 1.7189 1.0369 Pt
```

Calculated values
The total magnetization is 0.0 μB/cell. Its space-group type is No. 71. The density of states at the Fermi level is 2.11 states/eV per cell. The calculation puts the total energy at -42.950 eV per atom.